# 1
This record from Alexandria via LeMat-Bulk describes a geometry-optimized SmTh3Sc7 structure. The functional is GGA-PBE.

Cell and atoms, written as extended XYZ:
```
11
Lattice="-6.6557 3.2597 3.1691 1.9683 -1.9642 6.1541 1.8400 6.0532 -2.3617" Properties=species:S:1:pos:R:3 pbc="T T T"
Sm -1.0730 4.8284 1.8843
Sc 1.0867 5.1103 -0.5886
Th -4.2523 1.6024 5.5767
Sc -1.0147 0.8286 6.1383
Sc 0.1570 2.0519 0.6047
Sc 2.0812 4.1179 2.5208
Th -2.3658 3.6279 7.4553
Sc 1.1078 1.1088 3.7048
Sc -1.9943 1.8062 3.0755
Sc -0.0989 3.8412 4.9629
Th -3.3408 4.6009 4.4068
```

Density, Mg/m³: 6.06
D(E_F), states/eV per atom: 1.4375



# 2
This record from Alexandria via LeMat-Bulk describes a geometry-optimized SmTh2Sc3 structure. The functional is GGA-PBE.

Cell and atoms, written as extended XYZ:
```
12
Lattice="-2.4861 0.7457 -2.3231 6.0848 -4.0560 -5.2019 -4.8546 -9.8789 2.0241" Properties=species:S:1:pos:R:3 pbc="T T T"
Sc 1.3330 -4.9797 -5.6364
Th 0.6657 -10.6852 -4.1421
Th -1.9216 -2.5039 -1.3589
Sc -2.5889 -8.2094 0.1354
Th 0.0000 0.0000 0.0000
Sm -2.1819 -9.0918 -3.1948
Sc 0.8528 -7.3008 -3.2561
Sc -2.1087 -5.8883 -2.2449
Sm 0.9260 -4.0974 -2.3061
Sc -4.4403 -10.6330 -1.2728
Th -2.4273 -4.9394 1.0121
Sc 3.1844 -2.5562 -4.2282
```

Energy relative to the lowest polymorph listed for this composition, meV/atom: 30
Density, Mg/m³: 7.25
D(E_F), states/eV per atom: 1.3604



# 3
This record from Alexandria via LeMat-Bulk describes a geometry-optimized Sm7Th2Sc2 structure. The functional is GGA-PBE.

Cell and atoms, written as extended XYZ:
```
11
Lattice="-3.1903 -4.3556 -2.8140 1.9220 -6.6827 3.7692 -7.1813 0.2864 3.3026" Properties=species:S:1:pos:R:3 pbc="T T T"
Sm -8.5230 -6.0988 2.3635
Sc -6.6643 -3.5084 2.0038
Sm 0.0000 0.0000 0.0000
Sc -1.7852 -7.2436 2.2539
Sm -4.6258 -1.0556 1.6534
Sm -3.8238 -9.6964 2.6044
Sm -5.9775 -7.5474 3.8924
Sm 0.0735 -4.6532 1.8942
Th -3.6707 -4.5598 3.5098
Th -4.7788 -6.1922 0.7479
Sm -2.4721 -3.2046 0.3653
```

Density, Mg/m³: 7.56
D(E_F), states/eV per atom: 1.5478



# 4
This record from Alexandria via LeMat-Bulk describes a geometry-optimized Sm2Th2Sc structure. The functional is GGA-PBE.

Cell and atoms, written as extended XYZ:
```
5
Lattice="3.5032 0.0000 0.6540 1.7377 3.0836 0.4013 -0.8503 -1.3727 14.2636" Properties=species:S:1:pos:R:3 pbc="T T T"
Sc 0.4437 0.8554 7.3324
Sm 3.2069 2.0171 2.2412
Th 2.6935 -0.1091 4.9910
Th 1.6971 1.8200 10.3279
Sm 1.1837 -0.3062 13.0777
```

Density, Mg/m³: 8.61
D(E_F), states/eV per atom: 1.4028



# 5
This record from Alexandria via LeMat-Bulk describes a geometry-optimized SmThSc2 structure. The functional is GGA-PBE.

Cell and atoms, written as extended XYZ:
```
4
Lattice="4.5828 0.0000 0.0000 0.0000 4.9823 0.0000 0.0000 0.0000 4.9823" Properties=species:S:1:pos:R:3 pbc="T T T"
Sm 2.2914 0.0000 0.0000
Sc 0.0000 2.4911 0.0000
Th 2.2914 2.4911 2.4911
Sc 0.0000 0.0000 2.4911
```

Energy relative to the lowest polymorph listed for this composition, meV/atom: 19
Density, Mg/m³: 6.89
D(E_F), states/eV per atom: 1.2843



# 6
This record from Alexandria via LeMat-Bulk describes a geometry-optimized Sm3Th2Sc4 structure. The functional is GGA-PBE.

Cell and atoms, written as extended XYZ:
```
9
Lattice="5.6076 0.0000 0.0000 0.0000 6.1417 -0.3991 -2.8038 -3.6314 7.9315" Properties=species:S:1:pos:R:3 pbc="T T T"
Sc 0.0000 0.3801 3.6063
Th 2.8038 -0.9509 2.3301
Sm 0.0000 0.0000 0.0000
Sc 2.8038 1.8896 0.7614
Sm 2.8038 -0.7235 5.7971
Th 0.0000 3.4612 5.2023
Sc 2.8038 2.1302 3.9261
Sc 0.0000 0.6208 6.7710
Sm 0.0000 3.2339 1.7353
```

Density, Mg/m³: 6.86
D(E_F), states/eV per atom: 1.6164



# 7
This record from Alexandria via LeMat-Bulk describes a geometry-optimized Sm4ThSc structure. The functional is GGA-PBE.

Cell and atoms, written as extended XYZ:
```
12
Lattice="3.5737 0.0000 0.0000 0.0000 6.0681 -0.0360 0.0000 0.1868 17.5756" Properties=species:S:1:pos:R:3 pbc="T T T"
Sm 3.5731 2.0703 2.8197
Sm 1.7870 1.1172 14.6993
Sm 3.5735 4.0578 5.8935
Sc 1.7868 3.0341 -0.0180
Sm 0.0002 2.1970 11.6460
Sm 1.7874 5.1978 11.5894
Sm 1.7863 1.0571 5.9501
Sm 0.0005 4.1845 14.7199
Sm 1.7866 5.1377 2.8402
Th 1.7868 3.1274 8.7698
Sc 0.0000 0.0934 8.7878
Th 0.0000 0.0000 0.0000
```

Energy relative to the lowest polymorph listed for this composition, meV/atom: 0
Density, Mg/m³: 7.65
D(E_F), states/eV per atom: 1.3185



# 8
This record from Alexandria via LeMat-Bulk describes a geometry-optimized SmTh4Sc5 structure. The functional is GGA-PBE.

Cell and atoms, written as extended XYZ:
```
10
Lattice="-2.2243 -1.9305 -1.8309 2.3921 -2.4958 -0.2744 -7.9743 -9.8500 20.0738" Properties=species:S:1:pos:R:3 pbc="T T T"
Th -4.7819 -5.9067 12.0375
Th -3.1924 -3.9433 8.0363
Sc -0.7349 -3.2246 1.0086
Th -1.6016 -1.9783 4.0317
Sc -7.0716 -11.0518 16.9600
Sc -2.3136 -5.1746 4.9827
Sc -3.9032 -7.1382 8.9843
Sc -5.4929 -9.1017 12.9859
Sm 0.0000 0.0000 0.0000
Th -6.3727 -7.8717 16.0422
```

Density, Mg/m³: 7.58
D(E_F), states/eV per atom: 1.2818



# 9
This record from Alexandria via LeMat-Bulk describes a geometry-optimized SmThScTl structure. The functional is GGA-PBE.

Cell and atoms, written as extended XYZ:
```
4
Lattice="5.4590 0.0000 0.0000 2.7295 4.7276 0.0000 2.7295 1.5759 4.4572" Properties=species:S:1:pos:R:3 pbc="T T T"
Tl 8.1885 4.7276 3.3429
Sm 0.0000 0.0000 0.0000
Sc 2.7295 1.5759 1.1143
Th 5.4590 3.1517 2.2286
```

Density, Mg/m³: 9.12
D(E_F), states/eV per atom: 1.7025



# 10
This record from Alexandria via LeMat-Bulk describes a geometry-optimized Sm2TmThSc4 structure. The functional is GGA-PBE.

Cell and atoms, written as extended XYZ:
```
8
Lattice="4.9756 0.0000 0.0000 0.0000 4.8568 1.1052 0.0001 2.8337 9.9935" Properties=species:S:1:pos:R:3 pbc="T T T"
Sc 2.4879 4.3461 3.3458
Tm 2.4879 5.2621 10.5461
Th 0.0001 3.8452 5.5494
Sm 2.4878 1.4169 4.9968
Sc 0.0001 5.7705 8.3054
Sc 4.9756 1.9200 2.7933
Sc 2.4878 3.3444 7.7529
Sm 0.0001 2.8337 9.9935
```

Density, Mg/m³: 6.48
D(E_F), states/eV per atom: 1.4481



# 11
This record from Alexandria via LeMat-Bulk describes a geometry-optimized SmTm2ThSc structure. The functional is GGA-PBE.

Cell and atoms, written as extended XYZ:
```
10
Lattice="-2.1048 0.2997 -5.2131 7.3937 -4.6460 -3.2523 -4.3742 -4.0219 1.5349" Properties=species:S:1:pos:R:3 pbc="T T T"
Sc 0.3249 -4.9439 -1.9354
Sc 0.5898 -3.4244 -4.9951
Tm 1.3759 -1.6457 -2.1702
Th 2.3246 -7.6239 -2.8969
Tm -0.4612 -6.7225 -4.7604
Tm -1.7869 -2.2613 -0.9286
Sm -2.5276 -4.1649 -3.7790
Sm 3.4423 -4.2034 -3.1515
Tm 2.7016 -6.1069 -6.0020
Th -1.4099 -0.7443 -4.0336
```

Density, Mg/m³: 8.35
D(E_F), states/eV per atom: 1.5365



# 12
This record from Alexandria via LeMat-Bulk describes a geometry-optimized SmTmThSc structure. The functional is GGA-PBE.

Cell and atoms, written as extended XYZ:
```
4
Lattice="3.5299 -0.0004 -0.0006 -1.7646 3.0578 0.0021 -1.7632 -1.0253 11.1506" Properties=species:S:1:pos:R:3 pbc="T T T"
Th -1.4293 0.7894 9.7410
Sc -1.4316 2.8338 1.2432
Tm 0.3348 -0.2283 6.9544
Sm 2.0985 0.7946 4.0276
```

Energy relative to the lowest polymorph listed for this composition, meV/atom: 0
Density, Mg/m³: 8.23
D(E_F), states/eV per atom: 1.6383



Asked for total DFT energy (no corrections) across the records above, the calculation gives -6.25; -6.37; -5.32; -6.08; -6.16; -5.92; -5.39; -6.58; -5.19; -5.78; -5.44; -5.70 eV per atom in order.
Asked for DFT formation energy across the records above, the calculation gives 0.2347; 0.0535; 0.1809; 0.0426; 0.0436; 0.1120; 0.0440; 0.0294; 0.0179; 0.0487; 0.0430; 0.0347 eV/atom in order.
Asked for size of the total moment across the records above, the calculation gives 0.00; 0.00; 0.00; 0.00; 0.00; 0.00; 0.00; 0.00; 0.00; 0.00; 0.00; 0.00 μB/cell in order.